A geometry-optimized DyAg4Bi structure, computed with PBE-GGA.

Results
VASP energy = -20.9 eV/cell
Theoretical density = 10.18 Mg/m³
DFT formation energy = -170.7 meV/atom
Space-group type = No. 216

Cell and atoms, written as CIF:
```
data_DyAg4Bi
_cell_length_a 5.701
_cell_length_b 5.701
_cell_length_c 5.701
_cell_angle_alpha 60.00
_cell_angle_beta 60.00
_cell_angle_gamma 60.00
_space_group_name_H-M_alt 'P 1'
_space_group_IT_number 1
loop_
_space_group_symop_operation_xyz
'x,y,z'
loop_
_atom_site_label
_atom_site_type_symbol
_atom_site_fract_x
_atom_site_fract_y
_atom_site_fract_z
Bi1 Bi 0.000 0.000 0.000
Ag1 Ag 0.625 0.625 0.126
Ag2 Ag 0.625 0.126 0.625
Ag3 Ag 0.625 0.625 0.625
Ag4 Ag 0.126 0.625 0.625
Dy1 Dy 0.250 0.250 0.250
```

---

A geometry-optimized Dy5AgBi2 structure, computed with PBE-GGA.

Results
VASP energy = -70.9 eV/cell
Theoretical density = 9.09 Mg/m³
DFT formation energy = -230.0 meV/atom
Space-group type = No. 63

Cell and atoms, written as CIF:
```
data_Dy5AgBi2
_cell_length_a 5.723
_cell_length_b 6.614
_cell_length_c 14.335
_cell_angle_alpha 90.00
_cell_angle_beta 90.00
_cell_angle_gamma 115.63
_space_group_name_H-M_alt 'P 1'
_space_group_IT_number 1
loop_
_space_group_symop_operation_xyz
'x,y,z'
loop_
_atom_site_label
_atom_site_type_symbol
_atom_site_fract_x
_atom_site_fract_y
_atom_site_fract_z
Dy1 Dy 0.931 0.862 0.899
Dy2 Dy 0.931 0.862 0.601
Dy3 Dy 0.381 0.762 0.445
Dy4 Dy 0.381 0.762 0.055
Dy5 Dy 0.597 0.193 0.250
Dy6 Dy 0.403 0.807 0.750
Dy7 Dy 0.619 0.238 0.555
Dy8 Dy 0.619 0.238 0.945
Dy9 Dy 0.069 0.138 0.101
Dy10 Dy 0.069 0.138 0.399
Ag1 Ag 0.740 0.480 0.750
Ag2 Ag 0.260 0.520 0.250
Bi1 Bi 0.798 0.596 0.387
Bi2 Bi 0.798 0.596 0.113
Bi3 Bi 0.202 0.404 0.613
Bi4 Bi 0.202 0.404 0.887
```

---

A geometry-optimized Dy2AgBi structure, computed with PBE-GGA.

Results
VASP energy = -17.5 eV/cell
Theoretical density = 9.02 Mg/m³
DFT formation energy = -395.7 meV/atom
Space-group type = No. 166

Cell and atoms, written as CIF:
```
data_Dy2AgBi
_cell_length_a 4.424
_cell_length_b 4.424
_cell_length_c 7.425
_cell_angle_alpha 72.67
_cell_angle_beta 72.67
_cell_angle_gamma 60.00
_space_group_name_H-M_alt 'P 1'
_space_group_IT_number 1
loop_
_space_group_symop_operation_xyz
'x,y,z'
loop_
_atom_site_label
_atom_site_type_symbol
_atom_site_fract_x
_atom_site_fract_y
_atom_site_fract_z
Bi1 Bi 0.500 0.500 0.500
Ag1 Ag 0.000 0.000 0.000
Dy1 Dy 0.256 0.256 0.233
Dy2 Dy 0.744 0.744 0.767
```

---

A geometry-optimized DyAgBi structure, computed with PBE-GGA.

Results
VASP energy = -24.7 eV/cell
Theoretical density = 9.71 Mg/m³
DFT formation energy = -344.4 meV/atom
Space-group type = No. 71

Cell and atoms, written as CIF:
```
data_DyAgBi
_cell_length_a 5.353
_cell_length_b 3.787
_cell_length_c 8.727
_cell_angle_alpha 102.53
_cell_angle_beta 107.86
_cell_angle_gamma 90.00
_space_group_name_H-M_alt 'P 1'
_space_group_IT_number 1
loop_
_space_group_symop_operation_xyz
'x,y,z'
loop_
_atom_site_label
_atom_site_type_symbol
_atom_site_fract_x
_atom_site_fract_y
_atom_site_fract_z
Dy1 Dy 0.639 0.139 0.278
Dy2 Dy 0.361 0.861 0.722
Ag1 Ag 0.746 0.500 0.000
Ag2 Ag 0.254 0.500 0.000
Bi1 Bi 0.163 0.663 0.325
Bi2 Bi 0.837 0.337 0.675
```

---

> What is the formula in the first record?

DyAg4Bi